Record 1
Entry from the Alexandria database: crystalline YMg2Zr at its relaxed geometry (PBE-GGA).

Summary:
- formation energy (eV per atom) = 0.407
- ΔE to the lowest computed polymorph (eV/atom) = 0.4277

a b c (Å): 8.3655 8.3655 5.8823
angles (deg): 90.00 90.00 90.00
Last column: nearest neighbours and their distance in Å.
Space group I-42d (No. 122)
Unique sites:
Y (0.0000, 0.0000, 0.0000) [4 per cell]  2 Zr 2.94, 4 Mg 3.12
Mg (0.2370, 0.2500, 0.6250) [8 per cell]  2 Mg 2.95, 2 Zr 2.97, 2 Y 3.12
Zr (0.0000, 0.0000, 0.5000) [4 per cell]  2 Y 2.94, 4 Mg 2.97


Record 2
Entry from the Alexandria database: crystalline Y2Mg6Zr at its relaxed geometry (PBE-GGA).

Summary:
- formation energy (eV per atom) = -0.009

a b c (Å): 8.9046 8.9046 3.2486
angles (deg): 90.00 90.00 120.00
Last column: nearest neighbours and their distance in Å.
Space group P6/mmm (No. 191)
Unique sites:
Y (0.3333, 0.6667, 0.0000) [2 per cell]  2 Y 3.25, 12 Mg 3.41
Mg (0.0000, 0.3255, 0.5000) [6 per cell]  3 Mg 2.90-3.11
Zr (0.0000, 0.0000, 0.0000) [1 per cell]  2 Zr 3.25, 12 Mg 3.32


Record 3
Entry from the Alexandria database: crystalline YMg2Zr at its relaxed geometry (PBE-GGA).

Summary:
- formation energy (eV per atom) = 0.125
- ΔE to the lowest computed polymorph (eV/atom) = 0.1455

a b c (Å): 4.5542 4.5542 9.5756
angles (deg): 90.00 90.00 90.00
Last column: nearest neighbours and their distance in Å.
Space group I-4m2 (No. 119)
Unique sites:
Y (0.0000, 0.0000, 0.0000) [2 per cell]  8 Mg 3.22-3.30, 4 Zr 3.30
Mg (0.0000, 0.0000, 0.5000) [2 per cell]  4 Y 3.22, 4 Zr 3.30, 4 Mg 3.30
Mg (0.0000, 0.5000, 0.2500) [2 per cell]  4 Zr 3.22, 4 Mg 3.30, 4 Y 3.30
Zr (0.0000, 0.5000, 0.7500) [2 per cell]  8 Mg 3.22-3.30, 4 Y 3.30


Record 4
Entry from the Alexandria database: crystalline YMg3Zr at its relaxed geometry (PBE-GGA).

Summary:
- formation energy (eV per atom) = 0.852
- ΔE to the lowest computed polymorph (eV/atom) = 0.0000

a b c (Å): 5.3527 5.3527 5.3527
angles (deg): 90.00 90.00 90.00
Last column: nearest neighbours and their distance in Å.
Space group Pm-3m (No. 221)
Unique sites:
Y (0.0000, 0.0000, 0.0000) [1 per cell]  12 Mg 3.78
Mg (0.0000, 0.5000, 0.5000) [3 per cell]  2 Zr 2.68
Zr (0.5000, 0.5000, 0.5000) [1 per cell]  6 Mg 2.68


Record 5
Entry from the Alexandria database: crystalline YMgZr4 at its relaxed geometry (PBE-GGA).

Summary:
- formation energy (eV per atom) = 0.221

a b c (Å): 8.4818 8.4818 8.4818
angles (deg): 90.00 90.00 90.00
Last column: nearest neighbours and their distance in Å.
Space group F-43m (No. 216)
Unique sites:
Y (0.0000, 0.0000, 0.0000) [4 per cell]  12 Zr 3.51, 4 Mg 3.67
Mg (0.2500, 0.2500, 0.2500) [4 per cell]  12 Zr 3.52, 4 Y 3.67
Zr (0.1274, 0.1274, 0.6274) [16 per cell]  6 Zr 2.94-3.06


Record 6
Entry from the Alexandria database: crystalline YMg2Zr at its relaxed geometry (PBE-GGA).

Summary:
- formation energy (eV per atom) = 0.079
- ΔE to the lowest computed polymorph (eV/atom) = 0.0994

a b c (Å): 3.2649 4.6846 6.5825
angles (deg): 90.00 90.00 90.00
Last column: nearest neighbours and their distance in Å.
Space group Pmm2 (No. 25)
Unique sites:
Y (0.0000, 0.0000, 0.0000) [1 per cell]  6 Mg 3.21-3.38, 2 Y 3.26, 4 Zr 3.29
Mg (0.0000, 0.0000, 0.4873) [1 per cell]  2 Y 3.21-3.38, 4 Zr 3.26, 6 Mg 3.26-3.30
Mg (0.5000, 0.5000, 0.7378) [1 per cell]  2 Zr 3.23-3.36, 6 Mg 3.26-3.30, 4 Y 3.34
Zr (0.5000, 0.5000, 0.2476) [1 per cell]  6 Mg 3.23-3.36, 2 Zr 3.26, 4 Y 3.29


Q: Which formula does entry 6 have?
A: YMg2Zr


Q: Look up the formation energy of the fifth one.
A: 0.221 eV per atom